Version w
9
Lattice="6.4856 -3.7491 0.0000 6.4856 3.7491 0.0000 -0.0674 0.0000 6.5186" Properties=species:S:1:pos:R:3 comment="PBE-GGA Rb2WBr6, relaxed" rho_g_cm3=4.4 pbc="T T T"
Rb 2.1589 0.0000 1.4374
Rb 10.7449 0.0000 5.0811
W 6.4856 0.0000 0.0000
Br 5.4330 1.8108 1.4670
Br 4.3344 0.0000 5.0349
Br 7.4708 1.8108 5.0515
Br 5.4330 -1.8108 1.4670
Br 8.5694 0.0000 1.4836
Br 7.4708 -1.8108 5.0515

---

Version x
9
Lattice="0.0000 5.3816 5.3816 5.3816 0.0000 5.3816 5.3816 5.3816 0.0000" Properties=species:S:1:pos:R:3 comment="PBE-GGA Rb2WBr6, relaxed" rho_g_cm3=4.4 pbc="T T T"
Rb 2.6908 2.6908 2.6908
Rb 8.0724 8.0724 8.0724
W 0.0000 0.0000 0.0000
Br 5.3816 5.3816 2.5572
Br 5.3816 2.5572 5.3816
Br 8.2060 5.3816 5.3816
Br 2.5572 5.3816 5.3816
Br 5.3816 8.2060 5.3816
Br 5.3816 5.3816 8.2060

---

Energetically preferred structure: version x | next structure: +25 meV/atom

---

Version w
16
Lattice="7.8164 0.0000 0.0000 0.0000 7.8164 0.0000 0.0000 0.0000 7.8164" Properties=species:S:1:pos:R:3 comment="PBE-GGA RbWBr2, relaxed" rho_g_cm3=6.0 pbc="T T T"
Rb 0.0000 0.0000 0.0000
Rb 0.0000 3.9082 3.9082
Rb 3.9082 0.0000 3.9082
Rb 3.9082 3.9082 0.0000
W 0.0000 0.0000 3.9082
W 0.0000 3.9082 0.0000
W 3.9082 0.0000 0.0000
W 3.9082 3.9082 3.9082
Br 1.9541 1.9541 1.9541
Br 1.9541 1.9541 5.8623
Br 1.9541 5.8623 1.9541
Br 1.9541 5.8623 5.8623
Br 5.8623 1.9541 1.9541
Br 5.8623 1.9541 5.8623
Br 5.8623 5.8623 1.9541
Br 5.8623 5.8623 5.8623

---

Version x
12
Lattice="3.4122 0.0000 0.0000 -1.7061 2.9550 0.0000 0.0000 0.0000 30.2807" Properties=species:S:1:pos:R:3 comment="PBE-GGA RbWBr2, relaxed" rho_g_cm3=7.0 pbc="T T T"
Rb 0.0000 0.0000 0.0000
Rb 0.0000 1.9700 20.1871
Rb 1.7061 0.9850 10.0936
W 0.0000 0.0000 15.1403
W 0.0000 1.9700 5.0468
W 1.7061 0.9850 25.2339
Br 0.0000 0.0000 12.6659
Br 0.0000 0.0000 17.6148
Br 0.0000 1.9700 2.5723
Br 0.0000 1.9700 7.5212
Br 1.7061 0.9850 22.7595
Br 1.7061 0.9850 27.7084

---

Version y
16
Lattice="6.3566 0.0000 0.0000 0.0000 6.3566 0.0000 0.0000 0.0000 14.1058" Properties=species:S:1:pos:R:3 comment="PBE-GGA RbWBr2, relaxed" rho_g_cm3=5.0 pbc="T T T"
Rb 0.0000 0.0000 0.0000
Rb 0.0000 3.1783 3.5265
Rb 3.1783 0.0000 10.5794
Rb 3.1783 3.1783 7.0529
W 0.0000 0.0000 7.0529
W 0.0000 3.1783 10.5794
W 3.1783 0.0000 3.5265
W 3.1783 3.1783 0.0000
Br 0.7821 1.5891 8.8161
Br 1.5891 3.9604 12.3426
Br 1.5891 5.5744 5.2897
Br 2.3962 1.5891 1.7632
Br 3.9604 4.7674 1.7632
Br 4.7674 0.7821 5.2897
Br 4.7674 2.3962 12.3426
Br 5.5744 4.7674 8.8161

---

Energetically preferred structure: version x | next structure: +100 meV/atom

---

Version w
16
Lattice="12.7110 0.0000 0.0000 0.0000 12.7110 0.0000 0.0000 0.0000 5.6407" Properties=species:S:1:pos:R:3 comment="PBE-GGA Rb2YBr, relaxed" rho_g_cm3=2.5 pbc="T T T"
Rb 1.5297 9.5332 0.7051
Rb 3.1777 1.5297 4.9356
Rb 3.1777 4.8258 2.1153
Rb 4.8258 9.5332 3.5255
Rb 7.8852 3.1777 3.5255
Rb 9.5332 7.8852 2.1153
Rb 9.5332 11.1813 4.9356
Rb 11.1813 3.1777 0.7051
Y 0.0000 0.0000 2.8204
Y 0.0000 6.3555 4.2305
Y 6.3555 0.0000 1.4102
Y 6.3555 6.3555 0.0000
Br 0.0000 0.0000 0.0000
Br 0.0000 6.3555 1.4102
Br 6.3555 0.0000 4.2305
Br 6.3555 6.3555 2.8204

---

Version x
16
Lattice="9.4434 0.0000 0.0000 0.0000 9.4434 0.0000 0.0000 0.0000 9.4434" Properties=species:S:1:pos:R:3 comment="PBE-GGA Rb2YBr, relaxed" rho_g_cm3=2.7 pbc="T T T"
Rb 2.3608 2.3608 2.3608
Rb 2.3608 2.3608 7.0825
Rb 2.3608 7.0825 2.3608
Rb 2.3608 7.0825 7.0825
Rb 7.0825 2.3608 2.3608
Rb 7.0825 2.3608 7.0825
Rb 7.0825 7.0825 2.3608
Rb 7.0825 7.0825 7.0825
Y 0.0000 0.0000 0.0000
Y 0.0000 4.7217 4.7217
Y 4.7217 0.0000 4.7217
Y 4.7217 4.7217 0.0000
Br 0.0000 0.0000 4.7217
Br 0.0000 4.7217 0.0000
Br 4.7217 0.0000 0.0000
Br 4.7217 4.7217 4.7217

---

Energetically preferred structure: version w | next structure: +294 meV/atom

---

Version w
5
Lattice="5.7102 0.0000 0.0000 0.0000 5.7102 0.0000 0.0000 0.0000 5.7102" Properties=species:S:1:pos:R:3 comment="PBE-GGA RbY3Br, relaxed" rho_g_cm3=3.9 pbc="T T T"
Rb 0.0000 0.0000 0.0000
Y 0.0000 0.0000 2.8551
Y 0.0000 2.8551 0.0000
Y 2.8551 0.0000 0.0000
Br 2.8551 2.8551 2.8551

---

Version x
5
Lattice="5.6641 0.0000 0.0000 0.0000 5.6641 0.0000 0.0000 0.0000 5.6641" Properties=species:S:1:pos:R:3 comment="PBE-GGA RbY3Br, relaxed" rho_g_cm3=3.9 pbc="T T T"
Rb 0.0000 0.0000 0.0000
Y 0.0000 2.8320 2.8320
Y 2.8320 0.0000 2.8320
Y 2.8320 2.8320 0.0000
Br 2.8320 2.8320 2.8320

---

Energetically preferred structure: version x | next structure: +1113 meV/atom

---

Version w
5
Lattice="6.2684 0.0000 0.0000 0.0000 6.2684 0.0000 0.0000 0.0000 6.2684" Properties=species:S:1:pos:R:3 comment="PBE-GGA RbZn3Br, relaxed" rho_g_cm3=2.4 pbc="T T T"
Rb 0.0000 0.0000 0.0000
Zn 0.0000 3.1342 3.1342
Zn 3.1342 0.0000 3.1342
Zn 3.1342 3.1342 0.0000
Br 3.1342 3.1342 3.1342

---

Version x
5
Lattice="6.6828 0.0000 0.0000 0.0000 6.6828 0.0000 0.0000 0.0000 6.6828" Properties=species:S:1:pos:R:3 comment="PBE-GGA RbZn3Br, relaxed" rho_g_cm3=2.0 pbc="T T T"
Rb 0.0000 0.0000 0.0000
Zn 0.0000 0.0000 3.3414
Zn 0.0000 3.3414 0.0000
Zn 3.3414 0.0000 0.0000
Br 3.3414 3.3414 3.3414

---

Energetically preferred structure: version w | next structure: +130 meV/atom

---

Version w
16
Lattice="8.7642 0.0000 0.0000 0.0000 8.7642 0.0000 0.0000 0.0000 8.7642" Properties=species:S:1:pos:R:3 comment="PBE-GGA Rb2ZnBr, relaxed" rho_g_cm3=3.1 pbc="T T T"
Rb 2.1910 2.1910 2.1910
Rb 2.1910 2.1910 6.5731
Rb 2.1910 6.5731 2.1910
Rb 2.1910 6.5731 6.5731
Rb 6.5731 2.1910 2.1910
Rb 6.5731 2.1910 6.5731
Rb 6.5731 6.5731 2.1910
Rb 6.5731 6.5731 6.5731
Zn 0.0000 0.0000 0.0000
Zn 0.0000 4.3821 4.3821
Zn 4.3821 0.0000 4.3821
Zn 4.3821 4.3821 0.0000
Br 0.0000 0.0000 4.3821
Br 0.0000 4.3821 0.0000
Br 4.3821 0.0000 0.0000
Br 4.3821 4.3821 4.3821

---

Version x
4
Lattice="4.2676 0.0000 0.0000 0.0000 4.2676 0.0000 0.0000 0.0000 8.8083" Properties=species:S:1:pos:R:3 comment="PBE-GGA Rb2ZnBr, relaxed" rho_g_cm3=3.3 pbc="T T T"
Rb 0.0000 0.0000 2.0298
Rb 0.0000 0.0000 6.7785
Zn 2.1338 2.1338 4.4041
Br 2.1338 2.1338 0.0000

---

Energetically preferred structure: version x | next structure: +126 meV/atom

---

Version w
9
Lattice="6.3427 0.0000 0.0000 -3.1714 5.4930 0.0000 0.0000 0.0000 10.3901" Properties=species:S:1:pos:R:3 comment="PBE-GGA RbZnBr, relaxed" rho_g_cm3=3.2 pbc="T T T"
Rb 0.0000 0.0000 0.0000
Rb 0.0000 3.6620 6.9267
Rb 3.1714 1.8310 3.4634
Zn 0.0000 0.0000 3.8728
Zn 0.0000 3.6620 0.4095
Zn 3.1714 1.8310 7.3362
Br 0.0000 0.0000 7.0159
Br 0.0000 3.6620 3.5526
Br 3.1714 1.8310 0.0892

---

Version x
6
Lattice="4.0989 0.0000 0.0000 0.0109 4.1240 0.0000 0.0146 1.9613 11.7426" Properties=species:S:1:pos:R:3 comment="PBE-GGA RbZnBr, relaxed" rho_g_cm3=3.9 pbc="T T T"
Rb 0.0000 0.0000 0.0000
Rb 0.0192 1.9421 7.5350
Zn 0.0419 4.0242 4.5468
Zn 2.0814 1.9202 4.4341
Br 2.0555 2.0608 1.7602
Br 2.0734 4.0062 9.3570

---

Version y
6
Lattice="4.7289 0.0000 0.0000 0.0000 4.9962 0.0000 -2.3622 0.0000 9.5185" Properties=species:S:1:pos:R:3 comment="PBE-GGA RbZnBr, relaxed" rho_g_cm3=3.4 pbc="T T T"
Rb -0.0025 1.2490 2.8499
Rb 2.3692 3.7471 6.6687
Zn -0.0046 1.2490 9.2842
Zn 2.3713 3.7471 0.2343
Br 0.0041 1.2490 6.3858
Br 2.3627 3.7471 3.1327

---

Version z
6
Lattice="4.3960 0.0000 0.0000 0.0000 4.9580 0.0000 -0.0255 0.0000 10.4715" Properties=species:S:1:pos:R:3 comment="PBE-GGA RbZnBr, relaxed" rho_g_cm3=3.4 pbc="T T T"
Rb 0.0000 0.0000 0.0000
Rb 0.0002 2.4790 3.9704
Zn 2.1584 2.4790 7.9705
Zn 2.1636 0.0000 7.5543
Br 2.1991 2.4790 1.1014
Br 2.1971 0.0000 4.8464

---

Energetically preferred structure: version y | next structure: +23 meV/atom

---

Version w
6
Lattice="4.7976 0.0000 0.0000 -2.3988 4.1548 0.0000 0.0000 0.0000 10.8420" Properties=species:S:1:pos:R:3 comment="PBE-GGA RbZnBr, relaxed" rho_g_cm3=3.5 pbc="T T T"
Rb 0.0000 0.0000 0.0000
Rb 0.0000 2.7699 6.6468
Zn 0.0000 0.0000 4.2317
Zn 2.3988 1.3849 3.9015
Br 0.0000 2.7699 2.0434
Br 2.3988 1.3849 8.6738

---

Version x
3
Lattice="4.6119 0.0000 0.0000 -0.0025 4.8294 0.0000 -0.0800 -2.4106 6.9605" Properties=species:S:1:pos:R:3 comment="PBE-GGA RbZnBr, relaxed" rho_g_cm3=2.5 pbc="T T T"
Rb 0.0000 0.0000 0.0000
Zn 2.1610 2.4401 3.7699
Br 2.3072 2.4155 0.7824

---

Energetically preferred structure: version w | next structure: +100 meV/atom

---

Version w
5
Lattice="5.1760 0.0000 0.0000 0.0000 5.1760 0.0000 0.0000 0.0000 5.1760" Properties=species:S:1:pos:R:3 comment="PBE-GGA RbZr3Br, relaxed" rho_g_cm3=5.3 pbc="T T T"
Rb 0.0000 0.0000 0.0000
Zr 0.0000 0.0000 2.5880
Zr 0.0000 2.5880 0.0000
Zr 2.5880 0.0000 0.0000
Br 2.5880 2.5880 2.5880

---

Version x
5
Lattice="5.2217 0.0000 0.0000 0.0000 5.2217 0.0000 0.0000 0.0000 5.2217" Properties=species:S:1:pos:R:3 comment="PBE-GGA RbZr3Br, relaxed" rho_g_cm3=5.1 pbc="T T T"
Rb 0.0000 0.0000 0.0000
Zr 0.0000 2.6108 2.6108
Zr 2.6108 0.0000 2.6108
Zr 2.6108 2.6108 0.0000
Br 2.6108 2.6108 2.6108

---

Energetically preferred structure: version x | next structure: +1336 meV/atom

---

Version w
12
Lattice="3.6883 0.0000 0.0000 -1.8442 3.1942 0.0000 0.0000 0.0000 32.3487" Properties=species:S:1:pos:R:3 comment="PBE-GGA RbZrBr2, relaxed" rho_g_cm3=4.4 pbc="T T T"
Rb 0.0000 0.0000 0.0000
Rb 0.0000 2.1294 21.5658
Rb 1.8442 1.0647 10.7829
Zr 0.0000 0.0000 16.1743
Zr 0.0000 2.1294 5.3915
Zr 1.8442 1.0647 26.9572
Br 0.0000 0.0000 3.4993
Br 0.0000 0.0000 28.8493
Br 0.0000 2.1294 18.0664
Br 0.0000 2.1294 25.0651
Br 1.8442 1.0647 7.2836
Br 1.8442 1.0647 14.2822

---

Version x
16
Lattice="6.4981 0.0000 0.0000 0.0000 6.4981 0.0000 0.0000 0.0000 15.9632" Properties=species:S:1:pos:R:3 comment="PBE-GGA RbZrBr2, relaxed" rho_g_cm3=3.3 pbc="T T T"
Rb 0.0000 0.0000 0.0000
Rb 0.0000 3.2491 3.9908
Rb 3.2491 0.0000 11.9724
Rb 3.2491 3.2491 7.9816
Zr 0.0000 0.0000 7.9816
Zr 0.0000 3.2491 11.9724
Zr 3.2491 0.0000 3.9908
Zr 3.2491 3.2491 0.0000
Br 0.9976 1.6245 9.9770
Br 1.6245 4.2467 13.9678
Br 1.6245 5.5005 5.9862
Br 2.2514 1.6245 1.9954
Br 4.2467 4.8736 1.9954
Br 4.8736 0.9976 5.9862
Br 4.8736 2.2514 13.9678
Br 5.5005 4.8736 9.9770

---

Energetically preferred structure: version w | next structure: +169 meV/atom

---

Version w
12
Lattice="11.2064 0.0000 0.0000 0.0000 3.0062 0.0000 -3.2363 0.0000 6.4648" Properties=species:S:1:pos:R:3 comment="PBE-GGA Re2Br, relaxed" rho_g_cm3=13.8 pbc="T T T"
Re 0.1752 0.0000 1.3894
Re -1.6244 1.5031 6.3122
Re 3.9913 0.0000 0.1525
Re 2.1918 1.5031 5.0754
Re 5.7784 1.5031 1.3894
Re 3.9788 0.0000 6.3122
Re 9.5945 1.5031 0.1525
Re 7.7950 0.0000 5.0754
Br -0.1615 1.5031 3.8051
Br 2.5285 0.0000 2.6597
Br 5.4417 0.0000 3.8051
Br 8.1317 1.5031 2.6597

---

Version x
12
Lattice="6.0694 0.0000 0.0000 0.0000 6.0694 0.0000 0.0000 0.0000 5.5792" Properties=species:S:1:pos:R:3 comment="PBE-GGA Re2Br, relaxed" rho_g_cm3=14.6 pbc="T T T"
Re 0.8318 2.2029 0.0000
Re 0.8318 3.8665 2.7896
Re 2.2029 0.8318 2.7896
Re 2.2029 5.2376 0.0000
Re 3.8665 0.8318 0.0000
Re 3.8665 5.2376 2.7896
Re 5.2376 2.2029 2.7896
Re 5.2376 3.8665 0.0000
Br 0.0000 0.0000 1.3948
Br 0.0000 0.0000 4.1844
Br 3.0347 3.0347 1.3948
Br 3.0347 3.0347 4.1844

---

Energetically preferred structure: version w | next structure: +1279 meV/atom

---

Version w
12
Lattice="17.4564 0.0000 0.0000 0.0000 3.0302 0.0000 -0.9103 0.0000 5.6584" Properties=species:S:1:pos:R:3 comment="PBE-GGA Re2Br, relaxed" rho_g_cm3=10.0 pbc="T T T"
Re 3.4776 0.0000 0.5211
Re 3.1042 0.0000 3.4783
Re 4.7137 1.5151 2.1802
Re 4.3403 1.5151 5.1373
Re 12.2058 1.5151 0.5211
Re 11.8323 1.5151 3.4783
Re 13.4419 0.0000 2.1802
Re 13.0684 0.0000 5.1373
Br 0.9027 1.5151 4.5020
Br 6.9152 0.0000 1.1564
Br 9.6309 0.0000 4.5020
Br 15.6434 1.5151 1.1564

---

Version x
12
Lattice="2.9511 0.0000 0.0000 0.0000 13.9314 0.0000 0.0000 0.0000 4.7762" Properties=species:S:1:pos:R:3 comment="PBE-GGA Re2Br, relaxed" rho_g_cm3=15.3 pbc="T T T"
Re 0.0000 0.5135 1.1940
Re 0.0000 4.2143 3.5821
Re 0.0000 9.7171 1.1940
Re 0.0000 13.4179 3.5821
Re 1.4755 2.7514 1.1940
Re 1.4755 6.4522 3.5821
Re 1.4755 7.4792 1.1940
Re 1.4755 11.1800 3.5821
Br 0.0000 5.1567 1.1940
Br 0.0000 8.7747 3.5821
Br 1.4755 1.8090 3.5821
Br 1.4755 12.1224 1.1940

---

Energetically preferred structure: version w | next structure: +642 meV/atom